4
Lattice="1.845 1.065 8.969 -1.845 1.065 8.969 0.000 -2.130 8.969" Properties=species:S:1:pos:R:3 comment="NiTePb2, relaxed, DFT PBE" energy_ha_per_atom=-0.15104 n_ef_per_ev_atom=0.5362 pbc="T T T"
Ni 0.000 0.000 0.000
Te 0.000 0.000 19.240
Pb 0.000 0.000 7.157
Pb 0.000 0.000 13.212

4
Lattice="-1.686 2.914 5.366 1.686 -2.914 5.366 1.686 2.914 -5.366" Properties=species:S:1:pos:R:3 comment="NiTePb2, relaxed, DFT PBE" energy_ha_per_atom=-0.14739 n_ef_per_ev_atom=0.5218 pbc="T T T"
Ni 0.000 0.000 0.000
Te 0.000 2.914 3.516
Pb 1.686 0.000 2.168
Pb 0.000 0.000 5.294

Number 1: formation energy (no corrections) -0.03 eV per atom. Number 2: formation energy (no corrections) 0.07 eV per atom.